1.
First-principles (PBE) data for a relaxed structure of La4Nd2Er, as listed in the Alexandria database.

Computed properties:
- Symmetry: P1
- DFT formation energy: 0.02 eV/atom
- ΔE to the lowest computed polymorph: 0 meV/atom

Cell and atoms, written as POSCAR:
```
La4Nd2Er
1.0
6.3877 0.0000 0.0000
2.0946 7.9530 0.0000
0.0354 0.0012 9.7736
La Nd Er
8 4 2
Cartesian
0.0000 0.0000 0.0000
1.0773 3.9870 4.9086
2.1527 1.1110 2.8229
3.2312 1.7077 9.0934
5.2930 6.2245 0.7093
4.2875 2.2815 5.6115
6.3766 6.7825 6.9851
7.4335 7.3538 3.5130
2.1192 4.5269 1.4060
1.0952 0.5576 6.3012
3.2068 5.0852 7.6813
5.3311 2.8505 2.1048
4.2426 5.6614 4.1948
6.4217 3.4044 8.4013
```

2.
First-principles (PBE) data for a relaxed structure of MnRe2Mo, as listed in the Alexandria database.

Computed properties:
- Symmetry: Cmmm
- DFT formation energy: 0.09 eV/atom
- ΔE to the lowest computed polymorph: 3 meV/atom

Cell and atoms, written as POSCAR:
```
MnRe2Mo
1.0
1.5687 -2.1628 0.0000
1.5687 2.1628 0.0000
0.0000 0.0000 8.5816
Mn Re Mo
1 2 1
Cartesian
0.0000 0.0000 0.0000
1.5687 0.0000 2.0377
1.5687 0.0000 6.5438
0.0000 0.0000 4.2908
```